Record 1
Computed, not measured: a relaxed structure of BaNd2H at the PBE-GGA level of DFT.

Output
Total DFT energy (no corrections)   -3.708 eV per atom
Volume   125 Å³/cell
Fermi-level density of states   1.0547 states/eV/atom
Spin magnetization   0.37 μB per formula unit

a = 3.773 Å, b = 3.773 Å, c = 10.350 Å
α = 79.50°, β = 79.50°, γ = 60.00°
Positions (direct):
Nd1 0.121 0.121 0.636
Nd2 0.879 0.879 0.364
Ba1 0.000 0.000 0.000
H1 0.500 0.500 0.500

Record 2
Computed, not measured: a relaxed structure of BaNdH6Pd2 at the PBE-GGA level of DFT.

Output
Total DFT energy (no corrections)   -4.186 eV per atom
Volume   273 Å³/cell
Fermi-level density of states   0.3026 states/eV/atom
Spin magnetization   0.00 μB per formula unit

a = 6.628 Å, b = 6.628 Å, c = 6.995 Å
α = 105.32°, β = 105.32°, γ = 101.80°
Positions (direct):
H1 0.136 0.228 0.512
Nd1 0.588 0.412 0.250
Pd1 0.332 0.042 0.823
H2 0.228 0.136 0.012
H3 0.429 0.907 0.640
Pd2 0.668 0.958 0.177
H4 0.311 0.509 0.379
H5 0.093 0.571 0.860
H6 0.571 0.093 0.360
Pd3 0.958 0.668 0.677
Pd4 0.042 0.332 0.323
H7 0.907 0.429 0.140
H8 0.491 0.689 0.121
H9 0.689 0.491 0.621
H10 0.864 0.772 0.488
Ba1 0.843 0.157 0.750
H11 0.772 0.864 0.988
Nd2 0.412 0.588 0.750
H12 0.509 0.311 0.879
Ba2 0.157 0.843 0.250

Record 3
Computed, not measured: a relaxed structure of BaNdH6Pt2 at the PBE-GGA level of DFT.

Output
Total DFT energy (no corrections)   -4.407 eV per atom
Volume   284 Å³/cell
Fermi-level density of states   0.2177 states/eV/atom
Spin magnetization   0.00 μB per formula unit

a = 6.414 Å, b = 6.414 Å, c = 7.581 Å
α = 107.24°, β = 107.24°, γ = 87.98°
Positions (direct):
H1 0.106 0.726 0.775
H2 0.680 0.367 0.552
Nd1 0.434 0.566 0.750
H3 0.604 0.844 0.366
H4 0.367 0.680 0.052
Nd2 0.566 0.434 0.250
H5 0.320 0.633 0.448
Pt1 0.545 0.903 0.156
H6 0.726 0.106 0.275
H7 0.894 0.274 0.225
H8 0.844 0.604 0.866
H9 0.396 0.156 0.634
H10 0.633 0.320 0.948
Pt2 0.097 0.455 0.344
Ba1 0.096 0.904 0.250
Pt3 0.455 0.097 0.844
H11 0.156 0.396 0.134
Pt4 0.903 0.545 0.656
H12 0.274 0.894 0.725
Ba2 0.904 0.096 0.750

Record 4
Computed, not measured: a relaxed structure of BaNdH6Rh2 at the PBE-GGA level of DFT.

Output
Total DFT energy (no corrections)   -4.568 eV per atom
Volume   263 Å³/cell
Fermi-level density of states   0.1562 states/eV/atom
Spin magnetization   1.01 μB per formula unit

a = 6.505 Å, b = 6.505 Å, c = 7.007 Å
α = 105.38°, β = 105.38°, γ = 101.86°
Positions (direct):
H1 0.774 0.860 0.987
Ba1 0.155 0.845 0.250
H2 0.488 0.700 0.121
H3 0.512 0.300 0.879
H4 0.426 0.908 0.635
H5 0.092 0.574 0.865
H6 0.908 0.426 0.135
Rh1 0.667 0.964 0.175
H7 0.700 0.488 0.621
H8 0.300 0.512 0.379
H9 0.140 0.226 0.513
Nd1 0.589 0.411 0.250
Ba2 0.845 0.155 0.750
Rh2 0.333 0.036 0.825
H10 0.860 0.774 0.487
H11 0.226 0.140 0.013
Nd2 0.411 0.589 0.750
Rh3 0.036 0.333 0.325
H12 0.574 0.092 0.365
Rh4 0.964 0.667 0.675

Record 5
Computed, not measured: a relaxed structure of Ba2NdH12Rh3 at the PBE-GGA level of DFT.

Output
Total DFT energy (no corrections)   -4.369 eV per atom
Volume   207 Å³/cell
Fermi-level density of states   0.1710 states/eV/atom
Spin magnetization   0.00 μB per formula unit

a = 6.380 Å, b = 6.380 Å, c = 6.380 Å
α = 65.91°, β = 65.91°, γ = 65.91°
Positions (direct):
Rh1 0.500 0.000 0.000
H1 0.875 0.413 0.875
Rh2 0.000 0.000 0.500
H2 0.279 0.913 0.279
H3 0.279 0.279 0.913
Ba1 0.614 0.614 0.614
H4 0.125 0.125 0.587
H5 0.721 0.087 0.721
H6 0.413 0.875 0.875
H7 0.721 0.721 0.087
H8 0.587 0.125 0.125
H9 0.875 0.875 0.413
H10 0.913 0.279 0.279
Rh3 0.000 0.500 0.000
Ba2 0.386 0.386 0.386
H11 0.125 0.587 0.125
Nd1 0.000 0.000 0.000
H12 0.087 0.721 0.721

Record 6
Computed, not measured: a relaxed structure of Ba4Ni2H at the PBE-GGA level of DFT.

Output
Total DFT energy (no corrections)   -3.166 eV per atom
Volume   228 Å³/cell
Fermi-level density of states   0.9104 states/eV/atom
Spin magnetization   0.00 μB per formula unit

a = 5.345 Å, b = 5.345 Å, c = 8.839 Å
α = 107.60°, β = 107.60°, γ = 90.00°
Positions (direct):
Ni1 0.618 0.618 0.237
Ba1 0.000 0.500 0.000
H1 0.000 0.000 0.000
Ba2 0.500 0.000 0.000
Ba3 0.806 0.806 0.611
Ni2 0.382 0.382 0.763
Ba4 0.194 0.194 0.389

Record 7
Computed, not measured: a relaxed structure of Ba2NiH at the PBE-GGA level of DFT.

Output
Volume   104 Å³/cell
Energy above the most stable polymorph in this dataset   0.142 eV per atom
Fermi-level density of states   0.7028 states/eV/atom
Spin magnetization   0.00 μB per formula unit

a = 5.279 Å, b = 5.279 Å, c = 5.279 Å
α = 60.00°, β = 60.00°, γ = 60.00°
Positions (direct):
Ni1 0.500 0.500 0.500
Ba1 0.250 0.250 0.250
Ba2 0.750 0.750 0.750
H1 0.000 0.000 0.000

Record 8
Computed, not measured: a relaxed structure of BaNiH at the PBE-GGA level of DFT.

Output
Total DFT energy (no corrections)   -3.794 eV per atom
Volume   120 Å³/cell
Fermi-level density of states   0.1440 states/eV/atom
Spin magnetization   0.00 μB per formula unit

a = 3.978 Å, b = 4.172 Å, c = 8.235 Å
α = 93.86°, β = 90.00°, γ = 118.47°
Positions (direct):
H1 0.647 0.293 0.075
Ni1 0.665 0.330 0.500
Ba1 0.027 0.054 0.784
Ni2 0.335 0.670 0.500
Ba2 0.973 0.946 0.216
H2 0.353 0.707 0.925